Record 1
! K2ZnSi | the Alexandria database | SCAN | PBEsol geometry; values from VASP
! DOS at the Fermi energy (states/eV/f.u.): 2.257
! Crystal system: tetragonal
! Raw total energy (eV for the cell shown): -38.40
! Space group: No. 123
&SYSTEM
  ibrav = 0, nat = 4, ntyp = 3
/
ATOMIC_SPECIES
K 39.10 K.upf
Zn 65.41 Zn.upf
Si 28.09 Si.upf
CELL_PARAMETERS angstrom
3.0955 0.0000 0.0000
0.0000 6.0698 0.0000
0.0000 0.0000 6.0698
ATOMIC_POSITIONS crystal
K 0.0000 0.5000 0.0000
K 0.0000 0.0000 0.5000
Zn 0.5000 0.0000 0.0000
Si 0.5000 0.5000 0.5000


Record 2
! Ni2TeIr | the Alexandria database | SCAN | PBEsol geometry; values from VASP
! DOS at the Fermi energy (states/eV/f.u.): 5.692
! Crystal system: tetragonal
! Space group: No. 123
! Excess energy over the best structure of this formula in the dataset (kJ/mol of atoms): 4.08
&SYSTEM
  ibrav = 0, nat = 4, ntyp = 3
/
ATOMIC_SPECIES
Ni 58.69 Ni.upf
Te 127.60 Te.upf
Ir 192.22 Ir.upf
CELL_PARAMETERS angstrom
-0.9050 -2.1055 2.2790
-2.0954 -1.3361 -2.0665
3.8248 -3.4366 -1.6563
ATOMIC_POSITIONS crystal
Ni 0.0000 0.0000 0.7403
Ni 0.0000 0.0000 0.2597
Te 0.5000 0.5000 0.0000
Ir 0.5000 0.5000 0.5000


Record 3
! ScBeSCl2 | the Alexandria database | SCAN | PBEsol geometry; values from VASP
! DOS at the Fermi energy (states/eV/f.u.): 3.081
! Crystal system: tetragonal
! Raw total energy (eV for the cell shown): -48.95
! Space group: No. 123
&SYSTEM
  ibrav = 0, nat = 5, ntyp = 4
/
ATOMIC_SPECIES
Sc 44.96 Sc.upf
Be 9.01 Be.upf
Cl 35.45 Cl.upf
S 32.06 S.upf
CELL_PARAMETERS angstrom
-0.5636 1.5960 3.8896
-2.3059 -3.3989 1.0606
3.9158 -2.1981 1.4693
ATOMIC_POSITIONS crystal
Sc 0.5000 0.5000 0.5000
Be 0.0000 0.0000 0.0000
Cl 0.5000 0.0000 0.0000
Cl 0.0000 0.5000 0.0000
S 0.0000 0.0000 0.5000


Record 4
! Co2H2Rh | the Alexandria database | SCAN | PBEsol geometry; values from VASP
! DOS at the Fermi energy (states/eV/f.u.): 3.252
! Crystal system: tetragonal
! Raw total energy (eV for the cell shown): -147.24
! Space group: No. 127
&SYSTEM
  ibrav = 0, nat = 10, ntyp = 3
/
ATOMIC_SPECIES
Rh 102.91 Rh.upf
Co 58.93 Co.upf
H 1.01 H.upf
CELL_PARAMETERS angstrom
2.6786 0.0000 0.0000
0.0000 5.5522 0.0000
0.0000 0.0000 5.5522
ATOMIC_POSITIONS crystal
Rh 0.0000 0.5000 0.5000
Rh 0.0000 0.0000 0.0000
Co 0.5000 0.3585 0.1415
Co 0.5000 0.6415 0.8585
Co 0.5000 0.1415 0.6415
Co 0.5000 0.8585 0.3585
H 0.0000 0.2862 0.7862
H 0.0000 0.7862 0.7138
H 0.0000 0.2138 0.2862
H 0.0000 0.7138 0.2138


Record 5
! TlP2H | the Alexandria database | SCAN | PBEsol geometry; values from VASP
! DOS at the Fermi energy (states/eV/f.u.): 1.051
! Crystal system: tetragonal
! Raw total energy (eV for the cell shown): -187.23
! Space group: No. 141
&SYSTEM
  ibrav = 0, nat = 8, ntyp = 3
/
ATOMIC_SPECIES
P 30.97 P.upf
Tl 204.38 Tl.upf
H 1.01 H.upf
CELL_PARAMETERS angstrom
-2.0106 4.8081 0.5066
-2.7612 -3.5685 -4.1504
-4.5658 -2.0688 1.5134
ATOMIC_POSITIONS crystal
P 0.8750 0.2500 0.3750
P 0.3750 0.7500 0.3750
P 0.3750 0.2500 0.3750
P 0.3750 0.7500 0.8750
Tl 0.0000 0.0000 0.0000
Tl 0.7500 0.5000 0.7500
H 0.5000 0.0000 0.5000
H 0.2500 0.5000 0.2500


Record 6
! LaSi3Rh | the Alexandria database | SCAN | PBEsol geometry; values from VASP
! DOS at the Fermi energy (states/eV/f.u.): 1.675
! Crystal system: tetragonal
! Raw total energy (eV for the cell shown): -111.42
! Space group: No. 107
&SYSTEM
  ibrav = 0, nat = 5, ntyp = 3
/
ATOMIC_SPECIES
Si 28.09 Si.upf
La 138.91 La.upf
Rh 102.91 Rh.upf
CELL_PARAMETERS angstrom
-2.4212 3.3126 1.0578
-2.2175 -2.4637 2.6397
5.4146 0.6787 1.7812
ATOMIC_POSITIONS crystal
Si 0.2379 0.7379 0.4758
Si 0.5878 0.5878 0.1755
Si 0.7379 0.2379 0.4758
La 0.0003 0.0003 0.0006
Rh 0.3461 0.3461 0.6922


Record 7
! WS8Cl6 | the Alexandria database | SCAN | PBEsol geometry; values from VASP
! Crystal system: triclinic
! Raw total energy (eV for the cell shown): -402.10
! Space group: No. 2
&SYSTEM
  ibrav = 0, nat = 30, ntyp = 3
/
ATOMIC_SPECIES
S 32.06 S.upf
Cl 35.45 Cl.upf
W 183.84 W.upf
CELL_PARAMETERS angstrom
-0.9832 -7.7802 1.2797
6.3323 -0.0268 4.7998
-8.1259 4.8892 8.2918
ATOMIC_POSITIONS crystal
S 0.2696 0.9125 0.5820
S 0.9150 0.0274 0.3272
S 0.5572 0.2458 0.3394
S 0.7612 0.5970 0.3054
S 0.1174 0.3804 0.2951
S 0.4428 0.7542 0.6606
S 0.0850 0.9726 0.6728
S 0.8739 0.8173 0.6124
S 0.0170 0.5864 0.3730
S 0.8826 0.6196 0.7049
S 0.2388 0.4030 0.6946
S 0.6224 0.4916 0.4035
S 0.3776 0.5084 0.5965
S 0.1261 0.1827 0.3876
S 0.9830 0.4136 0.6270
S 0.7304 0.0875 0.4180
Cl 0.7554 0.2562 0.0723
Cl 0.0146 0.6789 0.1070
Cl 0.3366 0.8110 0.3003
Cl 0.2446 0.7438 0.9277
Cl 0.6154 0.4947 0.8842
Cl 0.6634 0.1890 0.6997
Cl 0.8118 0.9522 0.8879
Cl 0.1882 0.0478 0.1121
Cl 0.5613 0.8757 0.1205
Cl 0.9854 0.3211 0.8930
Cl 0.4387 0.1243 0.8795
Cl 0.3846 0.5053 0.1158
W 0.2879 0.7772 0.1137
W 0.7121 0.2228 0.8863


Record 8
! LaBeAu2 | the Alexandria database | SCAN | PBEsol geometry; values from VASP
! DOS at the Fermi energy (states/eV/f.u.): 2.312
! Crystal system: trigonal
! Space group: No. 166
! ΔH_f (0 K) (eV/atom): -0.7231
&SYSTEM
  ibrav = 0, nat = 4, ntyp = 3
/
ATOMIC_SPECIES
Be 9.01 Be.upf
Au 196.97 Au.upf
La 138.91 La.upf
CELL_PARAMETERS angstrom
-2.7408 2.7328 -1.7444
-4.0565 -1.1235 -0.5524
-3.4162 2.3807 3.9311
ATOMIC_POSITIONS crystal
Be 0.0000 0.0000 0.0000
Au 0.2904 0.2904 0.1288
Au 0.7096 0.7096 0.8712
La 0.5000 0.5000 0.5000


Record 9
! Zr2TePb | the Alexandria database | SCAN | PBEsol geometry; values from VASP
! DOS at the Fermi energy (states/eV/f.u.): 3.398
! Crystal system: tetragonal
! Space group: No. 123
! Excess energy over the best structure of this formula in the dataset (kJ/mol of atoms): 0.00
&SYSTEM
  ibrav = 0, nat = 4, ntyp = 3
/
ATOMIC_SPECIES
Pb 207.20 Pb.upf
Te 127.60 Te.upf
Zr 91.22 Zr.upf
CELL_PARAMETERS angstrom
-0.0651 -2.2769 2.5511
2.5596 -3.3401 -2.9127
4.4312 1.8514 1.7687
ATOMIC_POSITIONS crystal
Pb 0.5000 0.0000 0.0000
Te 0.5000 0.5000 0.5000
Zr 0.0000 0.0000 0.5000
Zr 0.0000 0.5000 0.0000


Record 10
! LiGaAu | the Alexandria database | SCAN | PBEsol geometry; values from VASP
! DOS at the Fermi energy (states/eV/f.u.): 0.657
! Crystal system: orthorhombic
! Space group: No. 40
! ΔH_f (0 K) (eV/atom): -0.5358
&SYSTEM
  ibrav = 0, nat = 6, ntyp = 3
/
ATOMIC_SPECIES
Li 6.94 Li.upf
Ga 69.72 Ga.upf
Au 196.97 Au.upf
CELL_PARAMETERS angstrom
-1.9424 4.1086 -0.5497
-2.8880 -0.8821 3.6113
4.1192 2.0737 0.9444
ATOMIC_POSITIONS crystal
Li 0.7500 0.2202 0.4128
Li 0.2500 0.5872 0.7798
Ga 0.7500 0.8869 0.7431
Ga 0.2500 0.2569 0.1131
Au 0.7500 0.5493 0.0672
Au 0.2500 0.9328 0.4507


Record 11
! TiOs | the Alexandria database | SCAN | PBEsol geometry; values from VASP
! DOS at the Fermi energy (states/eV/f.u.): 0.365
! Crystal system: cubic
! Space group: No. 221
! ΔH_f (0 K) (eV/atom): -0.9263
&SYSTEM
  ibrav = 0, nat = 2, ntyp = 2
/
ATOMIC_SPECIES
Ti 47.87 Ti.upf
Os 190.23 Os.upf
CELL_PARAMETERS angstrom
3.0594 0.0000 0.0000
0.0000 3.0594 0.0000
0.0000 0.0000 3.0594
ATOMIC_POSITIONS crystal
Ti 0.0000 0.0000 0.0000
Os 0.5000 0.5000 0.5000


Record 12
! K2CdGeP | the Alexandria database | SCAN | PBEsol geometry; values from VASP
! DOS at the Fermi energy (states/eV/f.u.): 0.927
! Crystal system: tetragonal
! Space group: No. 123
! ΔH_f (0 K) (eV/atom): 0.2149
&SYSTEM
  ibrav = 0, nat = 5, ntyp = 4
/
ATOMIC_SPECIES
K 39.10 K.upf
Cd 112.41 Cd.upf
P 30.97 P.upf
Ge 72.64 Ge.upf
CELL_PARAMETERS angstrom
4.7207 0.0000 0.0000
0.0000 6.2667 0.0000
0.0000 0.0000 6.2667
ATOMIC_POSITIONS crystal
K 0.0000 0.5000 0.0000
K 0.0000 0.0000 0.5000
Cd 0.5000 0.0000 0.0000
P 0.0000 0.0000 0.0000
Ge 0.5000 0.5000 0.5000